The following is a DFT calculation (meta-GGA SCAN) of Li2FeCu at its PBEsol-relaxed geometry.

Results
**Electronic total energy**: -9.272 eV per atom
**Formation enthalpy at 0 K**: 0.255 eV per atom

a b c (Å): 2.503 4.456 5.136
angles (deg): 115.71 104.10 90.00
Each line ends with the local moment (μB).
Element x y z (fractional)
Li 0.761 0.261 0.521  -0.04
Li 0.999 0.999 0.998  -0.03
Cu 0.502 0.502 0.005  0.06
Fe 0.238 0.738 0.475  2.83